(1)
# KMg2Co

A crystal of KMg2Co relaxed with PBEsol (meta-GGA SCAN, the Alexandria database).

Values from the calculation:
Calculated formation energy: 0.637 eV per atom
E above lowest polymorph: 0.019 eV per atom

Structure (CIF):
```
data_KMg2Co
_chemical_formula_sum 'K2 Mg4 Co2'
_cell_length_a 4.720
_cell_length_b 4.720
_cell_length_c 8.207
_cell_angle_alpha 90.00
_cell_angle_beta 90.00
_cell_angle_gamma 90.00
_symmetry_space_group_name_H-M 'I -4 m 2'
_symmetry_Int_Tables_number 119
_symmetry_space_group_name_Hall 'I -4 -2'
loop_
_atom_site_label
_atom_site_fract_x
_atom_site_fract_y
_atom_site_fract_z
K1 0.000 0.000 0.000
Mg1 0.000 0.000 0.500
Mg2 0.000 0.500 0.250
Co1 0.000 0.500 0.750
```

=====

(2)
# KMgCo2

A crystal of KMgCo2 relaxed with PBEsol (meta-GGA SCAN, the Alexandria database).

Values from the calculation:
Calculated formation energy: 1.081 eV per atom

Structure (CIF):
```
data_KMgCo2
_chemical_formula_sum 'K2 Mg2 Co4'
_cell_length_a 2.724
_cell_length_b 5.104
_cell_length_c 9.926
_cell_angle_alpha 90.00
_cell_angle_beta 90.00
_cell_angle_gamma 90.00
_symmetry_space_group_name_H-M 'I m m m'
_symmetry_Int_Tables_number 71
_symmetry_space_group_name_Hall '-I 2 2'
loop_
_atom_site_label
_atom_site_fract_x
_atom_site_fract_y
_atom_site_fract_z
K1 0.000 0.000 0.000
Mg1 0.000 0.000 0.500
Co1 0.000 0.500 0.225
```

=====

(3)
# KMgCoSe2

A crystal of KMgCoSe2 relaxed with PBEsol (meta-GGA SCAN, the Alexandria database).

Values from the calculation:
Formation energy (no corrections): 1.289 eV per atom

Structure (CIF):
```
data_KMgCoSe2
_chemical_formula_sum 'K1 Mg1 Co1 Se2'
_cell_length_a 5.491
_cell_length_b 5.491
_cell_length_c 5.035
_cell_angle_alpha 90.00
_cell_angle_beta 90.00
_cell_angle_gamma 90.00
_symmetry_space_group_name_H-M 'P 4/m m m'
_symmetry_Int_Tables_number 123
_symmetry_space_group_name_Hall '-P 4 2'
loop_
_atom_site_label
_atom_site_fract_x
_atom_site_fract_y
_atom_site_fract_z
K1 0.000 0.000 0.000
Mg1 0.000 0.000 0.500
Co1 0.500 0.500 0.500
Se1 0.000 0.500 0.000
```